Entry 1:
First-principles (PBE-GGA) data for an optimized crystal structure of Ti5Sb3, as listed in Alexandria via LeMat-Bulk.

a = 7.9193 Å, b = 7.9193 Å, c = 7.9193 Å
α = 96.86°, β = 96.86°, γ = 139.57°
Atoms (fractional coordinates):
Ti 0.0771 0.7722 0.8492
Ti 0.2278 0.0771 0.3049
Ti 0.2500 0.7500 0.5000
Ti 0.2722 0.5771 0.8492
Ti 0.4229 0.2722 0.6951
Ti 0.5771 0.7278 0.3049
Ti 0.7278 0.4229 0.1508
Ti 0.7500 0.2500 0.5000
Ti 0.7722 0.9229 0.6951
Ti 0.9229 0.2278 0.1508
Sb 0.1639 0.3361 0.5000
Sb 0.2500 0.2500 0.0000
Sb 0.3361 0.8361 0.1721
Sb 0.6639 0.1639 0.8279
Sb 0.7500 0.7500 0.0000
Sb 0.8361 0.6639 0.5000

Output
Energy relative to the lowest polymorph listed for this composition = 45 meV/atom
E_form (uncorrected) = -0.450 eV/atom

---

Entry 2:
First-principles (PBE-GGA) data for an optimized crystal structure of NbNiH2, as listed in Alexandria via LeMat-Bulk.

a = 5.1446 Å, b = 5.1446 Å, c = 5.1446 Å
α = 90.00°, β = 90.00°, γ = 90.00°
Atoms (fractional coordinates):
Nb 0.0000 0.0000 0.0000
Nb 0.0000 0.5000 0.5000
Nb 0.5000 0.0000 0.5000
Nb 0.5000 0.5000 0.0000
Ni 0.0000 0.0000 0.5000
Ni 0.0000 0.5000 0.0000
Ni 0.5000 0.0000 0.0000
Ni 0.5000 0.5000 0.5000
H 0.2500 0.2500 0.2500
H 0.2500 0.2500 0.7500
H 0.2500 0.7500 0.2500
H 0.2500 0.7500 0.7500
H 0.7500 0.2500 0.2500
H 0.7500 0.2500 0.7500
H 0.7500 0.7500 0.2500
H 0.7500 0.7500 0.7500

Output
Energy relative to the lowest polymorph listed for this composition = 270 meV/atom

---

Entry 3:
First-principles (PBE-GGA) data for an optimized crystal structure of CuSbSe2, as listed in Alexandria via LeMat-Bulk.

a = 3.7647 Å, b = 7.1909 Å, c = 7.3330 Å
α = 90.00°, β = 90.00°, γ = 90.00°
Atoms (fractional coordinates):
Cu 0.0000 0.0000 0.0000
Cu 0.5000 0.5000 0.0000
Sb 0.0000 0.0000 0.5000
Sb 0.5000 0.5000 0.5000
Se 0.0000 0.5000 0.2175
Se 0.0000 0.5000 0.7825
Se 0.5000 0.0000 0.2175
Se 0.5000 0.0000 0.7825

Output
E_form (uncorrected) = 0.130 eV/atom

---

Entry 4:
First-principles (PBE-GGA) data for an optimized crystal structure of KOsPb2, as listed in Alexandria via LeMat-Bulk.

a = 8.0659 Å, b = 3.4523 Å, c = 8.3101 Å
α = 90.00°, β = 98.63°, γ = 90.00°
Atoms (fractional coordinates):
K 0.0000 0.0000 0.0000
K 0.5000 0.5000 0.0000
Os 0.0000 0.5000 0.5000
Os 0.5000 0.0000 0.5000
Pb 0.2303 0.0000 0.6811
Pb 0.2697 0.5000 0.3189
Pb 0.7303 0.5000 0.6811
Pb 0.7697 0.0000 0.3189

Output
Energy relative to the lowest polymorph listed for this composition = 144 meV/atom
Energy relative to the elements = 2.0 eV per formula unit

---

Entry 5:
First-principles (PBE-GGA) data for an optimized crystal structure of CrCoRe2, as listed in Alexandria via LeMat-Bulk.

a = 8.6408 Å, b = 2.6747 Å, c = 4.6667 Å
α = 90.00°, β = 99.71°, γ = 90.00°
Atoms (fractional coordinates):
Cr 0.0000 0.0000 0.0000
Cr 0.5000 0.5000 0.0000
Co 0.0000 0.5000 0.5000
Co 0.5000 0.0000 0.5000
Re 0.2461 0.0000 0.7454
Re 0.2539 0.5000 0.2546
Re 0.7461 0.5000 0.7454
Re 0.7539 0.0000 0.2546

Output
Energy relative to the lowest polymorph listed for this composition = 98 meV/atom
Energy relative to the elements = 0.6 eV per formula unit

---

Entry 6:
First-principles (PBE-GGA) data for an optimized crystal structure of LiSnHg3, as listed in Alexandria via LeMat-Bulk.

a = 4.6898 Å, b = 4.9996 Å, c = 10.4759 Å
α = 81.98°, β = 78.28°, γ = 89.41°
Atoms (fractional coordinates):
Li 0.1628 0.2072 0.1852
Li 0.8372 0.7928 0.8148
Sn 0.3368 0.2571 0.8088
Sn 0.6632 0.7429 0.1912
Hg 0.0612 0.7493 0.4009
Hg 0.2510 0.7222 0.9985
Hg 0.4379 0.7819 0.6233
Hg 0.5621 0.2181 0.3767
Hg 0.7490 0.2778 0.0015
Hg 0.9388 0.2507 0.5991

Output
Energy relative to the lowest polymorph listed for this composition = 0 meV/atom
Energy relative to the elements = -0.5 eV per formula unit

---

Entry 7:
First-principles (PBE-GGA) data for an optimized crystal structure of Nd2CdS, as listed in Alexandria via LeMat-Bulk.

a = 3.9948 Å, b = 3.9948 Å, c = 24.2909 Å
α = 90.00°, β = 90.00°, γ = 120.00°
Atoms (fractional coordinates):
Nd 0.0000 0.0000 0.0000
Nd 0.0000 0.0000 0.1981
Nd 0.3333 0.6667 0.6667
Nd 0.3333 0.6667 0.8648
Nd 0.6667 0.3333 0.3333
Nd 0.6667 0.3333 0.5314
Cd 0.0000 0.0000 0.4325
Cd 0.3333 0.6667 0.0992
Cd 0.6667 0.3333 0.7658
S 0.0000 0.0000 0.6006
S 0.3333 0.6667 0.2672
S 0.6667 0.3333 0.9339

Output
Energy relative to the lowest polymorph listed for this composition = 51 meV/atom
E_form (uncorrected) = -1.050 eV/atom

---

Entry 8:
First-principles (PBE-GGA) data for an optimized crystal structure of NdEr2Hg2, as listed in Alexandria via LeMat-Bulk.

a = 6.6725 Å, b = 6.6725 Å, c = 8.9483 Å
α = 100.98°, β = 100.98°, γ = 119.28°
Atoms (fractional coordinates):
Nd 0.1251 0.8749 0.7500
Nd 0.8749 0.1251 0.2500
Er 0.2724 0.5229 0.0445
Er 0.4771 0.7276 0.4555
Er 0.5229 0.2724 0.5445
Er 0.7276 0.4771 0.9555
Hg 0.1565 0.8435 0.2500
Hg 0.4069 0.5931 0.7500
Hg 0.5931 0.4069 0.2500
Hg 0.8435 0.1565 0.7500

Output
Energy relative to the lowest polymorph listed for this composition = 390 meV/atom
Energy relative to the elements = 0.1 eV per formula unit

---

Entry 9:
First-principles (PBE-GGA) data for an optimized crystal structure of CeNdHo6, as listed in Alexandria via LeMat-Bulk.

a = 6.4810 Å, b = 6.5709 Å, c = 7.4514 Å
α = 114.90°, β = 115.66°, γ = 90.09°
Atoms (fractional coordinates):
Ce 0.0000 0.0000 0.0000
Nd 0.5000 0.0000 0.0000
Ho 0.2310 0.9122 0.4622
Ho 0.2485 0.5000 0.0005
Ho 0.2601 0.4399 0.5205
Ho 0.7399 0.5601 0.4795
Ho 0.7515 0.5000 0.9995
Ho 0.7690 0.0878 0.5378

Output
Energy relative to the lowest polymorph listed for this composition = 172 meV/atom
Energy relative to the elements = 1.7 eV per formula unit

---

Entry 10:
First-principles (PBE-GGA) data for an optimized crystal structure of Se2IO, as listed in Alexandria via LeMat-Bulk.

a = 6.7621 Å, b = 6.7621 Å, c = 6.7621 Å
α = 90.00°, β = 90.00°, γ = 90.00°
Atoms (fractional coordinates):
Se 0.2500 0.2500 0.2500
Se 0.2500 0.2500 0.7500
Se 0.2500 0.7500 0.2500
Se 0.2500 0.7500 0.7500
Se 0.7500 0.2500 0.2500
Se 0.7500 0.2500 0.7500
Se 0.7500 0.7500 0.2500
Se 0.7500 0.7500 0.7500
I 0.0000 0.0000 0.0000
I 0.0000 0.5000 0.5000
I 0.5000 0.0000 0.5000
I 0.5000 0.5000 0.0000
O 0.0000 0.0000 0.5000
O 0.0000 0.5000 0.0000
O 0.5000 0.0000 0.0000
O 0.5000 0.5000 0.5000

Output
Energy relative to the lowest polymorph listed for this composition = 702 meV/atom
E_form (uncorrected) = 0.999 eV/atom

---

Entry 11:
First-principles (PBE-GGA) data for an optimized crystal structure of OsW2, as listed in Alexandria via LeMat-Bulk.

a = 2.7933 Å, b = 2.7933 Å, c = 6.9636 Å
α = 90.00°, β = 90.00°, γ = 120.00°
Atoms (fractional coordinates):
Os 0.0000 0.0000 0.0000
W 0.3333 0.6667 0.3225
W 0.6667 0.3333 0.6775

Output
Energy relative to the lowest polymorph listed for this composition = 215 meV/atom
Energy relative to the elements = 0.6 eV per formula unit

---

Entry 12:
First-principles (PBE-GGA) data for an optimized crystal structure of Pr15Tm4In, as listed in Alexandria via LeMat-Bulk.

a = 5.1334 Å, b = 5.1334 Å, c = 25.8258 Å
α = 90.00°, β = 90.00°, γ = 90.00°
Atoms (fractional coordinates):
Pr 0.0000 0.0000 0.0000
Pr 0.0000 0.0000 0.1980
Pr 0.0000 0.0000 0.3993
Pr 0.0000 0.0000 0.6007
Pr 0.0000 0.0000 0.8020
Pr 0.0000 0.5000 0.0971
Pr 0.0000 0.5000 0.2989
Pr 0.0000 0.5000 0.5000
Pr 0.0000 0.5000 0.7011
Pr 0.0000 0.5000 0.9029
Pr 0.5000 0.0000 0.0971
Pr 0.5000 0.0000 0.2989
Pr 0.5000 0.0000 0.5000
Pr 0.5000 0.0000 0.7011
Pr 0.5000 0.0000 0.9029
Tm 0.5000 0.5000 0.1984
Tm 0.5000 0.5000 0.3997
Tm 0.5000 0.5000 0.6003
Tm 0.5000 0.5000 0.8016
In 0.5000 0.5000 0.0000

Output
Energy relative to the elements = -0.8 eV per formula unit

---

Entry 13:
First-principles (PBE-GGA) data for an optimized crystal structure of CaTaTl2, as listed in Alexandria via LeMat-Bulk.

a = 3.3350 Å, b = 3.3350 Å, c = 30.2858 Å
α = 90.00°, β = 90.00°, γ = 120.00°
Atoms (fractional coordinates):
Ca 0.0000 0.0000 0.0000
Ca 0.3333 0.6667 0.6667
Ca 0.6667 0.3333 0.3333
Ta 0.0000 0.0000 0.5000
Ta 0.3333 0.6667 0.1667
Ta 0.6667 0.3333 0.8333
Tl 0.0000 0.0000 0.2463
Tl 0.0000 0.0000 0.7537
Tl 0.3333 0.6667 0.4204
Tl 0.3333 0.6667 0.9130
Tl 0.6667 0.3333 0.0870
Tl 0.6667 0.3333 0.5796

Output
Energy relative to the elements = 1.2 eV per formula unit

---

Entry 14:
First-principles (PBE-GGA) data for an optimized crystal structure of CoCu2Pt, as listed in Alexandria via LeMat-Bulk.

a = 2.6867 Å, b = 4.4692 Å, c = 8.7667 Å
α = 90.00°, β = 90.00°, γ = 90.00°
Atoms (fractional coordinates):
Co 0.0000 0.0000 0.0000
Co 0.5000 0.5000 0.0000
Cu 0.0000 0.5000 0.2374
Cu 0.0000 0.5000 0.7626
Cu 0.5000 0.0000 0.2374
Cu 0.5000 0.0000 0.7626
Pt 0.0000 0.0000 0.5000
Pt 0.5000 0.5000 0.5000

Output
Energy relative to the elements = 0.4 eV per formula unit

---

Entry 15:
First-principles (PBE-GGA) data for an optimized crystal structure of PrTiBi, as listed in Alexandria via LeMat-Bulk.

a = 11.5499 Å, b = 4.0184 Å, c = 7.8566 Å
α = 90.00°, β = 103.73°, γ = 90.00°
Atoms (fractional coordinates):
Pr 0.1015 0.0000 0.2909
Pr 0.3985 0.5000 0.7091
Pr 0.6015 0.5000 0.2909
Pr 0.8985 0.0000 0.7091
Ti 0.1190 0.5000 0.9597
Ti 0.3810 0.0000 0.0403
Ti 0.6190 0.0000 0.9597
Ti 0.8810 0.5000 0.0403
Bi 0.1797 0.0000 0.7292
Bi 0.3203 0.5000 0.2708
Bi 0.6797 0.5000 0.7292
Bi 0.8203 0.0000 0.2708

Output
Energy relative to the elements = -0.7 eV per formula unit

---

Entry 16:
First-principles (PBE-GGA) data for an optimized crystal structure of Pr4Sn2Hg, as listed in Alexandria via LeMat-Bulk.

a = 8.2159 Å, b = 10.5118 Å, c = 5.2612 Å
α = 90.00°, β = 90.00°, γ = 90.00°
Atoms (fractional coordinates):
Pr 0.2462 0.0000 0.0000
Pr 0.2500 0.2500 0.5000
Pr 0.2500 0.7500 0.5000
Pr 0.2538 0.5000 0.0000
Pr 0.7462 0.5000 0.0000
Pr 0.7500 0.2500 0.5000
Pr 0.7500 0.7500 0.5000
Pr 0.7538 0.0000 0.0000
Sn 0.0000 0.2486 0.0000
Sn 0.0000 0.7514 0.0000
Sn 0.5000 0.2514 0.0000
Sn 0.5000 0.7486 0.0000
Hg 0.0000 0.5000 0.5000
Hg 0.5000 0.0000 0.5000

Output
Energy relative to the lowest polymorph listed for this composition = 0 meV/atom
Energy relative to the elements = -3.6 eV per formula unit

---

Entry 17:
First-principles (PBE-GGA) data for an optimized crystal structure of Cr2Hg2P, as listed in Alexandria via LeMat-Bulk.

a = 5.9137 Å, b = 5.9137 Å, c = 4.6679 Å
α = 90.00°, β = 90.00°, γ = 90.00°
Atoms (fractional coordinates):
Cr 0.1360 0.3640 0.0000
Cr 0.3640 0.8640 0.0000
Cr 0.6360 0.1360 0.0000
Cr 0.8640 0.6360 0.0000
Hg 0.1737 0.6737 0.5000
Hg 0.3263 0.1737 0.5000
Hg 0.6737 0.8263 0.5000
Hg 0.8263 0.3263 0.5000
P 0.0000 0.0000 0.0000
P 0.5000 0.5000 0.0000

Output
Energy relative to the lowest polymorph listed for this composition = 0 meV/atom
Energy relative to the elements = 1.1 eV per formula unit

---

Entry 18:
First-principles (PBE-GGA) data for an optimized crystal structure of Ce2Pm2Ni15, as listed in Alexandria via LeMat-Bulk.

a = 6.5067 Å, b = 6.5067 Å, c = 6.5067 Å
α = 82.12°, β = 82.12°, γ = 82.12°
Atoms (fractional coordinates):
Ce 0.1082 0.1082 0.1082
Ce 0.8918 0.8918 0.8918
Pm 0.3594 0.3594 0.3594
Pm 0.6406 0.6406 0.6406
Ni 0.0000 0.0000 0.5000
Ni 0.0000 0.3149 0.6851
Ni 0.0000 0.5000 0.0000
Ni 0.0000 0.6851 0.3149
Ni 0.1662 0.6556 0.6556
Ni 0.3149 0.0000 0.6851
Ni 0.3149 0.6851 0.0000
Ni 0.3444 0.3444 0.8338
Ni 0.3444 0.8338 0.3444
Ni 0.5000 0.0000 0.0000
Ni 0.6556 0.1662 0.6556
Ni 0.6556 0.6556 0.1662
Ni 0.6851 0.0000 0.3149
Ni 0.6851 0.3149 0.0000
Ni 0.8338 0.3444 0.3444

Output
Energy relative to the elements = -4.7 eV per formula unit

---

Entry 19:
First-principles (PBE-GGA) data for an optimized crystal structure of Zr2RhSe, as listed in Alexandria via LeMat-Bulk.

a = 3.7764 Å, b = 3.8800 Å, c = 5.5490 Å
α = 90.00°, β = 90.00°, γ = 90.00°
Atoms (fractional coordinates):
Zr 0.0000 0.0000 0.0000
Zr 0.5000 0.5000 0.5000
Rh 0.0000 0.0000 0.5000
Se 0.5000 0.5000 0.0000

Output
E_form (uncorrected) = -0.787 eV/atom

---

Entry 20:
First-principles (PBE-GGA) data for an optimized crystal structure of CdRh2, as listed in Alexandria via LeMat-Bulk.

a = 2.8399 Å, b = 2.8399 Å, c = 6.8278 Å
α = 90.00°, β = 90.00°, γ = 120.00°
Atoms (fractional coordinates):
Cd 0.0000 0.0000 0.0000
Rh 0.3333 0.6667 0.6530
Rh 0.6667 0.3333 0.3470

Output
Energy relative to the elements = 0.2 eV per formula unit

---

Entry 21:
First-principles (PBE-GGA) data for an optimized crystal structure of BaLa2Mg2Ge2, as listed in Alexandria via LeMat-Bulk.

a = 10.6766 Å, b = 10.6766 Å, c = 10.6766 Å
α = 25.87°, β = 25.87°, γ = 25.87°
Atoms (fractional coordinates):
Ba 0.0000 0.0000 0.0000
La 0.1356 0.1356 0.1356
La 0.8644 0.8644 0.8644
Mg 0.4130 0.4130 0.4130
Mg 0.5870 0.5870 0.5870
Ge 0.2504 0.2504 0.2504
Ge 0.7496 0.7496 0.7496

Output
Energy relative to the elements = -2.6 eV per formula unit

---

Entry 22:
First-principles (PBE-GGA) data for an optimized crystal structure of PmP3Ir4, as listed in Alexandria via LeMat-Bulk.

a = 3.9827 Å, b = 3.9827 Å, c = 8.2367 Å
α = 90.00°, β = 90.00°, γ = 90.00°
Atoms (fractional coordinates):
Pm 0.0000 0.0000 0.0000
P 0.0000 0.0000 0.5000
P 0.5000 0.5000 0.1750
P 0.5000 0.5000 0.8250
Ir 0.0000 0.5000 0.3264
Ir 0.0000 0.5000 0.6736
Ir 0.5000 0.0000 0.3264
Ir 0.5000 0.0000 0.6736

Output
Energy relative to the elements = -5.6 eV per formula unit

---

Entry 23:
First-principles (PBE-GGA) data for an optimized crystal structure of NbGe2Pd2, as listed in Alexandria via LeMat-Bulk.

a = 7.3545 Å, b = 7.3545 Å, c = 2.9781 Å
α = 90.00°, β = 90.00°, γ = 90.00°
Atoms (fractional coordinates):
Nb 0.0000 0.0000 0.0000
Nb 0.5000 0.5000 0.0000
Ge 0.1538 0.3462 0.0000
Ge 0.3462 0.8462 0.0000
Ge 0.6538 0.1538 0.0000
Ge 0.8462 0.6538 0.0000
Pd 0.1445 0.6445 0.5000
Pd 0.3555 0.1445 0.5000
Pd 0.6445 0.8555 0.5000
Pd 0.8555 0.3555 0.5000

Output
Energy relative to the elements = -1.5 eV per formula unit

---

Entry 24:
First-principles (PBE-GGA) data for an optimized crystal structure of GaAuCl, as listed in Alexandria via LeMat-Bulk.

a = 6.3698 Å, b = 6.3257 Å, c = 8.0788 Å
α = 90.00°, β = 107.89°, γ = 90.00°
Atoms (fractional coordinates):
Ga 0.0349 0.1630 0.1390
Ga 0.0349 0.3370 0.6390
Ga 0.9651 0.6630 0.3610
Ga 0.9651 0.8370 0.8610
Au 0.2009 0.7083 0.6796
Au 0.2009 0.7917 0.1796
Au 0.7991 0.2083 0.8204
Au 0.7991 0.2917 0.3204
Cl 0.3534 0.1265 0.6659
Cl 0.3534 0.3735 0.1659
Cl 0.6466 0.6265 0.8341
Cl 0.6466 0.8735 0.3341

Output
E_form (uncorrected) = -0.414 eV/atom

---

Entry 25:
First-principles (PBE-GGA) data for an optimized crystal structure of DyLuGaRh, as listed in Alexandria via LeMat-Bulk.

a = 6.9446 Å, b = 6.9446 Å, c = 6.9446 Å
α = 90.00°, β = 90.00°, γ = 90.00°
Atoms (fractional coordinates):
Dy 0.0000 0.0000 0.0000
Dy 0.0000 0.5000 0.5000
Dy 0.5000 0.0000 0.5000
Dy 0.5000 0.5000 0.0000
Lu 0.0000 0.0000 0.5000
Lu 0.0000 0.5000 0.0000
Lu 0.5000 0.0000 0.0000
Lu 0.5000 0.5000 0.5000
Ga 0.2500 0.2500 0.2500
Ga 0.2500 0.7500 0.7500
Ga 0.7500 0.2500 0.7500
Ga 0.7500 0.7500 0.2500
Rh 0.2500 0.2500 0.7500
Rh 0.2500 0.7500 0.2500
Rh 0.7500 0.2500 0.2500
Rh 0.7500 0.7500 0.7500

Output
Energy relative to the elements = -2.9 eV per formula unit

---

The records above yield total magnetization values of 0.001, 0.000, 0.000, 0.000, 0.001, 0.000, 0.000, 0.000, 1.420, 0.000, 0.000, 0.000, 0.000, 1.698, 0.001, 0.000, 1.006, 0.005, 0.000, 0.000, 0.003, 0.000, 0.000, 0.000, 0.000 μB per formula unit, respectively.